No. 1
Below is a relaxed LiAlP2 crystal, with properties calculated at the GGA-PBEsol level.

Geometry as POSCAR:
```
LiAlP2
1.0
2.624 0.089 0.000
-0.091 2.624 0.000
0.000 0.000 8.923
Al P Li
1 2 1
direct
0.000 0.000 0.506
0.500 0.500 0.713
0.000 0.000 0.036
0.500 0.500 0.244
```

Results
- DFT formation energy (eV per atom) = 0.105
- total DFT energy (no corrections) (eV/atom) = -4.31
- space group = P4mm (99)

---

No. 2
Below is a relaxed NiH3Ir crystal, with properties calculated at the GGA-PBEsol level.

Geometry as POSCAR:
```
NiH3Ir
1.0
-3.116 0.214 1.261
-0.010 -3.324 0.540
1.279 0.496 3.076
Ni H Ir
1 3 1
direct
0.500 0.500 0.500
0.000 0.000 0.500
0.000 0.500 0.000
0.500 0.000 0.000
0.000 0.000 0.000
```

Results
- total DFT energy (no corrections) (eV/atom) = -4.84
- space group = Pm-3m (221)

---

No. 3
Below is a relaxed HgRuSe crystal, with properties calculated at the GGA-PBEsol level.

Geometry as POSCAR:
```
HgRuSe
1.0
-0.110 -0.779 2.869
-1.663 -2.364 -0.705
6.074 -1.860 -1.814
Ru Se Hg
1 1 1
direct
0.311 0.311 0.622
0.708 0.708 0.416
0.981 0.981 0.962
```

Results
- raw formation energy (meV/atom) = 30
- total DFT energy (no corrections) (eV/atom) = -4.83
- space group = I4mm (107)

---

No. 4
Below is a relaxed Ca2AlRe crystal, with properties calculated at the GGA-PBEsol level.

Geometry as POSCAR:
```
Ca2AlRe
1.0
2.892 0.000 0.000
0.000 5.510 0.283
-1.446 -1.778 5.369
Ca Al Re
2 1 1
direct
0.783 0.317 0.565
0.972 0.940 0.944
0.207 0.766 0.413
0.539 0.477 0.078
```

Results
- DFT formation energy (eV per atom) = 0.325
- total DFT energy (no corrections) (eV/atom) = -5.10
- space group = Cm (8)

---

No. 5
Below is a relaxed SrHfNi3 crystal, with properties calculated at the GGA-PBEsol level.

Geometry as POSCAR:
```
SrHfNi3
1.0
-4.638 -0.510 -0.373
-0.323 -0.455 4.648
-0.543 4.631 0.416
Ni Hf Sr
3 1 1
direct
0.000 0.000 0.500
0.000 0.500 0.000
0.500 0.000 0.000
0.000 0.000 0.000
0.500 0.500 0.500
```

Results
- DFT formation energy (eV per atom) = 0.507
- total DFT energy (no corrections) (eV/atom) = -5.66
- space group = Pm-3m (221)

---

No. 6
Below is a relaxed Gd3AlN crystal, with properties calculated at the GGA-PBEsol level.

Geometry as POSCAR:
```
Gd3AlN
1.0
4.776 0.000 0.000
0.000 4.776 0.000
0.000 0.000 4.776
N Gd Al
1 3 1
direct
0.500 0.500 0.500
0.500 0.000 0.500
0.500 0.500 0.000
0.000 0.500 0.500
0.000 0.000 0.000
```

Results
- raw formation energy (meV/atom) = -945
- total DFT energy (no corrections) (eV/atom) = -12.14
- space group = Pm-3m (221)

---

- Which of these has the lowest total DFT energy (no corrections)?
  Gd3AlN

---

Please write out number 2 again, unchanged.
Below is a relaxed NiH3Ir crystal, with properties calculated at the GGA-PBEsol level.

Geometry as POSCAR:
```
NiH3Ir
1.0
-3.116 0.214 1.261
-0.010 -3.324 0.540
1.279 0.496 3.076
Ni H Ir
1 3 1
direct
0.500 0.500 0.500
0.000 0.000 0.500
0.000 0.500 0.000
0.500 0.000 0.000
0.000 0.000 0.000
```

Results
- total DFT energy (no corrections) (eV/atom) = -4.84
- space group = Pm-3m (221)

---

- Which of these has the highest total DFT energy (no corrections)?
  LiAlP2